Below is ScHI2O after structural relaxation, with properties calculated at the PBE level.

Cell lengths 5.276, 5.276, 3.357 Å; angles 90.00, 90.00, 90.00 degrees
Space group P4/mmm (No. 123)
Inequivalent atoms, fractional coordinates:
1 Sc 0.000 0.000 0.000 [1 per cell]
2 H 0.500 0.500 0.500 [1 per cell]
3 I 0.000 0.500 0.500 [2 per cell]
4 O 0.500 0.500 0.000 [1 per cell]

Relative energy among the computed polymorphs in meV/atom: 780.9